Compound: Dy6Fe16O
Source: Alexandria
Functional: GGA+U
Structure: relaxed

Unit cell a=8.241 b=8.241 c=8.241 alpha=109.47 beta=109.47 gamma=109.47
Element x y z (fractional)
Dy (0.000, 0.261, 0.261)
Dy (0.000, 0.739, 0.739)
Dy (0.261, 0.000, 0.261)
Dy (0.261, 0.261, 0.000)
Dy (0.739, 0.000, 0.739)
Dy (0.739, 0.739, 0.000)
Fe (0.000, 0.000, 0.500)
Fe (0.000, 0.340, 0.660)
Fe (0.000, 0.500, 0.000)
Fe (0.000, 0.660, 0.340)
Fe (0.320, 0.660, 0.660)
Fe (0.340, 0.000, 0.660)
Fe (0.340, 0.340, 0.680)
Fe (0.340, 0.660, 0.000)
Fe (0.340, 0.680, 0.340)
Fe (0.500, 0.000, 0.000)
Fe (0.500, 0.500, 0.500)
Fe (0.660, 0.000, 0.340)
Fe (0.660, 0.320, 0.660)
Fe (0.660, 0.340, 0.000)
Fe (0.660, 0.660, 0.320)
Fe (0.680, 0.340, 0.340)
O (0.000, 0.000, 0.000)

- ρ: 7262 kg/m3
- Density of states at the Fermi level: 0.79 states/eV/atom
- Energy: -112.71 eV for the cell shown